! Ca2CoF6 PBE with a Hubbard U relaxed; values from VASP
&SYSTEM
  ibrav = 0, nat = 18, ntyp = 3
/
ATOMIC_SPECIES
F 19.00 F.upf
Ca 40.08 Ca.upf
Co 58.93 Co.upf
CELL_PARAMETERS angstrom
-2.3402 4.9532 -0.4784
-4.0268 -1.5151 4.0104
5.0770 1.9306 5.8271
ATOMIC_POSITIONS crystal
F 0.6631 0.2176 0.9026
Ca 0.0414 0.5896 0.2351
F 0.8369 0.7176 0.5974
F 0.1631 0.2824 0.4026
F 0.8321 0.9164 0.2709
F 0.6977 0.1730 0.5566
Ca 0.9586 0.4104 0.7649
F 0.3369 0.7824 0.0974
Ca 0.5414 0.9104 0.7351
F 0.1977 0.3270 0.0566
F 0.3321 0.5836 0.7709
Co 0.0000 0.0000 0.5000
Ca 0.4586 0.0896 0.2649
Co 0.5000 0.5000 0.0000
F 0.6679 0.4164 0.2291
F 0.8023 0.6730 0.9434
F 0.1679 0.0836 0.7291
F 0.3023 0.8270 0.4434
! * SG: P2_1/c, No. 14
! * total magnetization: 3.0 μB/f.u.
! * E_tot: -5.538 eV per atom